Record 1
Density functional theory data (PBE) for a relaxed structure of BaTcN.

Results
D(E_F): 8.63 states/eV per cell
Formation energy (no corrections): -0.113 eV per atom
Magnetic moment: 0.00 μB/atom

abc: 4.7705 6.0026 8.0395
angles: 90.00 90.00 90.00
Last column: nearest neighbours and their distance in Å.
Fractional positions:
Ba1 0.2500 0.9998 0.3588  4 N 2.95, 2 Tc 3.17, 2 Ba 3.29
N1 0.7500 0.7499 0.2500  2 Tc 1.93
Ba2 0.7500 0.5002 0.8588  4 N 2.95, 2 Tc 3.17, 2 Ba 3.29
Tc1 0.2500 0.0000 0.9010  2 N 1.93
N2 0.2500 0.7501 0.7500  2 Tc 1.93
Ba3 0.2500 0.4998 0.1412  4 N 2.95, 2 Tc 3.17, 2 Ba 3.29
N3 0.7500 0.2499 0.2500  2 Tc 1.93
Tc2 0.7500 0.5000 0.4010  2 N 1.93
Ba4 0.7500 0.0002 0.6412  4 N 2.95, 2 Tc 3.17, 2 Ba 3.29
Tc3 0.7500 0.0000 0.0990  2 N 1.93
Tc4 0.2500 0.5000 0.5990  2 N 1.93
N4 0.2500 0.2501 0.7500  2 Tc 1.93



Record 2
Density functional theory data (PBE) for a relaxed structure of BaTcN2.

Results
D(E_F): 3.87 states/eV per cell
Formation energy (no corrections): -0.174 eV per atom
Magnetic moment: 0.02 μB/atom
E above lowest polymorph: 95 meV/atom

abc: 5.1628 5.7423 5.7423
angles: 114.44 90.00 90.00
Last column: nearest neighbours and their distance in Å.
Fractional positions:
N1 0.2500 0.7131 0.8501  2 Tc 1.99
Tc1 0.5000 0.0000 0.0000  4 N 1.99
N2 0.2500 0.1499 0.2868  2 Tc 1.99
Tc2 0.0000 0.0000 0.0000  4 N 1.99
Ba1 0.7500 0.3437 0.6563  4 N 2.79-2.98
N3 0.7500 0.2868 0.1499  2 Tc 1.99
Ba2 0.2500 0.6563 0.3437  4 N 2.79-2.98
N4 0.7500 0.8501 0.7131  2 Tc 1.99



Record 3
Density functional theory data (PBE) for a relaxed structure of Ba3Tc5N12.

Results
D(E_F): 36.21 states/eV per cell
Formation energy (no corrections): -0.145 eV per atom
Magnetic moment: 0.00 μB/atom

abc: 11.5804 11.5804 11.5804
angles: 109.47 109.47 109.47
Last column: nearest neighbours and their distance in Å.
Fractional positions:
N1 0.5098 0.8232 0.8976  2 Tc 1.85-2.06
Tc1 0.3750 0.2500 0.1250  4 N 1.85
Tc2 0.7500 0.6250 0.3750  4 N 1.85
N2 0.6122 0.6024 0.4256  2 Tc 1.85-2.06
N3 0.0744 0.1866 0.1768  2 Tc 1.85-2.06
N4 0.0744 0.8878 0.3976  2 Tc 1.85-2.06
N5 0.1122 0.9256 0.1024  2 Tc 1.85-2.06
N6 0.3134 0.8232 0.4256  2 Tc 1.85-2.06
N7 0.6866 0.1768 0.5744  2 Tc 1.85-2.06
N8 0.3976 0.0098 0.8232  2 Tc 1.85-2.06
Ba1 0.6250 0.2500 0.3750  8 N 2.68-2.98
N9 0.4902 0.3134 0.8878  2 Tc 1.85-2.06
Tc3 0.0000 0.0000 0.0000  6 N 2.06
Ba2 0.1250 0.2500 0.8750  8 N 2.68-2.98
N10 0.6024 0.6122 0.9256  2 Tc 1.85-2.06
Tc4 0.5000 0.0000 0.5000  6 N 2.06
Tc5 0.0000 0.0000 0.5000  6 N 2.06
Tc6 0.1250 0.3750 0.2500  4 N 1.85
N11 0.4902 0.1768 0.1024  2 Tc 1.85-2.06
N12 0.3134 0.4902 0.3878  2 Tc 1.85-2.06
N13 0.8134 0.9256 0.3232  2 Tc 1.85-2.06
Tc7 0.3750 0.1250 0.7500  4 N 1.85
N14 0.6024 0.9902 0.1768  2 Tc 1.85-2.06
Tc8 0.0000 0.5000 0.5000  6 N 2.06
N15 0.0098 0.3976 0.3232  2 Tc 1.85-2.06
N16 0.8232 0.3134 0.9256  2 Tc 1.85-2.06
N17 0.4256 0.3232 0.3134  2 Tc 1.85-2.06
N18 0.1122 0.1866 0.5098  2 Tc 1.85-2.06
N19 0.8134 0.8878 0.9902  2 Tc 1.85-2.06
N20 0.5744 0.6768 0.6866  2 Tc 1.85-2.06
Ba3 0.2500 0.1250 0.3750  8 N 2.68-2.98
Ba4 0.8750 0.1250 0.2500  8 N 2.68-2.98
Tc9 0.5000 0.5000 0.5000  6 N 2.06
Ba5 0.2500 0.6250 0.8750  8 N 2.68-2.98
N21 0.5744 0.8976 0.3878  2 Tc 1.85-2.06
Tc10 0.8750 0.2500 0.6250  4 N 1.85
N22 0.1024 0.4256 0.1122  2 Tc 1.85-2.06
N23 0.1024 0.6768 0.4902  2 Tc 1.85-2.06
Ba6 0.6250 0.3750 0.7500  8 N 2.68-2.98
N24 0.9902 0.6024 0.6768  2 Tc 1.85-2.06
N25 0.1768 0.6866 0.0744  2 Tc 1.85-2.06
N26 0.3976 0.3878 0.0744  2 Tc 1.85-2.06
Tc11 0.2500 0.3750 0.6250  4 N 1.85
N27 0.6866 0.5098 0.6122  2 Tc 1.85-2.06
N28 0.0098 0.6122 0.1866  2 Tc 1.85-2.06
N29 0.3232 0.8976 0.0098  2 Tc 1.85-2.06
Tc12 0.6250 0.8750 0.2500  4 N 1.85
N30 0.3878 0.3976 0.5744  2 Tc 1.85-2.06
N31 0.3232 0.4256 0.8134  2 Tc 1.85-2.06
N32 0.9256 0.1122 0.6024  2 Tc 1.85-2.06
N33 0.8232 0.5098 0.3976  2 Tc 1.85-2.06
Ba7 0.7500 0.8750 0.6250  8 N 2.68-2.98
Tc13 0.0000 0.5000 0.0000  6 N 2.06
Tc14 0.1250 0.7500 0.3750  4 N 1.85
Ba8 0.3750 0.7500 0.6250  8 N 2.68-2.98
Tc15 0.2500 0.8750 0.1250  4 N 1.85
N34 0.8878 0.8134 0.4902  2 Tc 1.85-2.06
N35 0.5098 0.6866 0.1122  2 Tc 1.85-2.06
N36 0.8878 0.0744 0.8976  2 Tc 1.85-2.06
Ba9 0.3750 0.6250 0.2500  8 N 2.68-2.98
N37 0.1866 0.1122 0.0098  2 Tc 1.85-2.06
N38 0.4256 0.1024 0.6122  2 Tc 1.85-2.06
Tc16 0.8750 0.6250 0.7500  4 N 1.85
N39 0.9256 0.8134 0.8232  2 Tc 1.85-2.06
Ba10 0.8750 0.7500 0.1250  8 N 2.68-2.98
Tc17 0.5000 0.0000 0.0000  6 N 2.06
Tc18 0.6250 0.7500 0.8750  4 N 1.85
N40 0.3878 0.9902 0.3134  2 Tc 1.85-2.06
N41 0.8976 0.3232 0.5098  2 Tc 1.85-2.06
Tc19 0.7500 0.1250 0.8750  4 N 1.85
N42 0.6122 0.0098 0.6866  2 Tc 1.85-2.06
N43 0.8976 0.5744 0.8878  2 Tc 1.85-2.06
Tc20 0.5000 0.5000 0.0000  6 N 2.06
N44 0.6768 0.5744 0.1866  2 Tc 1.85-2.06
N45 0.6768 0.1024 0.9902  2 Tc 1.85-2.06
Ba11 0.7500 0.3750 0.1250  8 N 2.68-2.98
N46 0.9902 0.3878 0.8134  2 Tc 1.85-2.06
Ba12 0.1250 0.8750 0.7500  8 N 2.68-2.98
N47 0.1768 0.4902 0.6024  2 Tc 1.85-2.06
N48 0.1866 0.0744 0.6768  2 Tc 1.85-2.06



Record 4
Density functional theory data (PBE) for a relaxed structure of BaTcN2.

Results
D(E_F): 2.90 states/eV per cell
Formation energy (no corrections): 0.507 eV per atom
Magnetic moment: 0.23 μB/atom
E above lowest polymorph: 777 meV/atom

abc: 7.0861 7.0861 7.0861
angles: 27.19 27.19 27.19
Last column: nearest neighbours and their distance in Å.
Fractional positions:
Ba1 0.0000 0.0000 0.0000  2 N 2.55
Tc1 0.5000 0.5000 0.5000  6 N 2.11
N1 0.8752 0.8752 0.8752  3 Tc 2.11
N2 0.1248 0.1248 0.1248  3 Tc 2.11



Record 5
Density functional theory data (PBE) for a relaxed structure of Ba8Tc3N8.

Results
D(E_F): 10.61 states/eV per cell
Formation energy (no corrections): -0.534 eV per atom
Magnetic moment: 0.13 μB/atom

abc: 5.7515 8.1101 10.5712
angles: 105.82 105.79 90.00
Last column: nearest neighbours and their distance in Å.
Fractional positions:
Ba1 0.2015 0.7983 0.4031  5 N 2.92-2.97
Ba2 0.3354 0.5343 0.6709  5 N 2.82-3.08
Ba3 0.0257 0.2693 0.0513  5 N 2.88-3.02
Tc1 0.5000 0.5000 0.0000  2 N 1.86
Tc2 0.8141 0.7986 0.6282  3 N 1.83-1.86
Tc3 0.1859 0.2014 0.3718  3 N 1.83-1.86
N1 0.8224 0.5798 0.6448  1 Tc 1.83
N2 0.8923 0.9861 0.7845  1 Tc 1.86
Ba4 0.7985 0.2017 0.5969  5 N 2.92-2.97
Ba5 0.6003 0.9456 0.2006  4 N 2.70-2.97
N3 0.5231 0.2937 0.0461  1 Tc 1.86
Ba6 0.6646 0.4657 0.3291  5 N 2.82-3.08
N4 0.7272 0.8324 0.4543  1 Tc 1.86
N5 0.2728 0.1676 0.5457  1 Tc 1.86
N6 0.1077 0.0139 0.2155  1 Tc 1.86
N7 0.1776 0.4202 0.3552  1 Tc 1.83
N8 0.4769 0.7063 0.9539  1 Tc 1.86
Ba7 0.3997 0.0544 0.7994  4 N 2.70-2.97
Ba8 0.9743 0.7307 0.9487  5 N 2.88-3.02



Record 6
Density functional theory data (PBE) for a relaxed structure of BaTc2N2.

Results
D(E_F): 4.36 states/eV per cell
Formation energy (no corrections): 1.099 eV per atom
Magnetic moment: 0.00 μB/atom
E above lowest polymorph: 639 meV/atom

abc: 7.5357 7.5357 2.8253
angles: 90.00 90.00 90.00
Last column: nearest neighbours and their distance in Å.
Fractional positions:
Ba1 0.0000 0.0000 0.0000  2 Ba 2.83, 4 Tc 3.04
Tc1 0.8881 0.6119 0.0000  4 N 2.20, 1 Tc 2.38
Ba2 0.5000 0.5000 0.0000  2 Ba 2.83, 4 Tc 3.04
N1 0.6120 0.8880 0.5000  4 Tc 2.20, 1 N 2.39
Tc2 0.3881 0.8881 0.0000  4 N 2.20, 1 Tc 2.38
N2 0.1120 0.6120 0.5000  4 Tc 2.20, 1 N 2.39
Tc3 0.6119 0.1119 0.0000  4 N 2.20, 1 Tc 2.38
N3 0.3880 0.1120 0.5000  4 Tc 2.20, 1 N 2.39
Tc4 0.1119 0.3881 0.0000  4 N 2.20, 1 Tc 2.38
N4 0.8880 0.3880 0.5000  4 Tc 2.20, 1 N 2.39